Record 1
DFT (GGA-PBE) results for a geometry-optimized SmZrZn structure.

For the volume, the calculation gives 25.8 Å³/atom. For the magnetic moment, the calculation gives 2.33 μB/cell. The calculation puts the formation energy at 0.22 eV/atom.

It has space group F-43m (No. 216), with a = 6.769 Å, b = 6.769 Å, c = 6.769 Å, α = 90.00°, β = 90.00° and γ = 90.00°. The asymmetric unit holds Sm at (0.000, 0.000, 0.000), Zr at (0.000, 0.000, 0.500) and Zn at (0.250, 0.250, 0.250).

***

Record 2
DFT (GGA-PBE) results for a geometry-optimized PrReIr structure.

For the volume, the calculation gives 23.7 Å³/atom. For the magnetic moment, the calculation gives 10.38 μB/cell. The calculation puts the formation energy at 1.55 eV/atom.

It has space group F-43m (No. 216), with a = 6.574 Å, b = 6.574 Å, c = 6.574 Å, α = 90.00°, β = 90.00° and γ = 90.00°. The asymmetric unit holds Pr at (0.000, 0.000, 0.000), Re at (0.250, 0.250, 0.250) and Ir at (0.250, 0.250, 0.750).

***

Record 3
DFT (GGA-PBE) results for a geometry-optimized CuAgHgGeS4 structure.

For the volume, the calculation gives 22.0 Å³/atom. Its total energy is -3.75 eV/atom.

It has space group I-4 (No. 82), with a = 5.690 Å, b = 5.690 Å, c = 10.886 Å, α = 90.00°, β = 90.00° and γ = 90.00°. The asymmetric unit holds Cu at (0.000, 0.000, 0.000), Ag at (0.000, 0.000, 0.500), Hg at (0.000, 0.500, 0.250), Ge at (0.000, 0.500, 0.750) and S at (0.206, 0.742, 0.877).

***

Record 4
DFT (GGA-PBE) results for a geometry-optimized LuMgBe2 structure.

For the volume, the calculation gives 16.0 Å³/atom. Its total energy is -3.07 eV/atom. For the magnetic moment, the calculation gives 0.01 μB/cell.

It has space group F-43m (No. 216), with a = 6.351 Å, b = 6.351 Å, c = 6.351 Å, α = 90.00°, β = 90.00° and γ = 90.00°. The asymmetric unit holds Lu at (0.000, 0.000, 0.000), Mg at (0.250, 0.250, 0.750), Be at (0.000, 0.000, 0.500) and Be at (0.250, 0.250, 0.250).

***

Record 5
DFT (GGA-PBE) results for a geometry-optimized K2NdY2Mg3Cd structure.

For the volume, the calculation gives 32.0 Å³/atom. Its total energy is -2.45 eV/atom. For the magnetic moment, the calculation gives 0.22 μB/cell.

It has space group Amm2 (No. 38), with a = 4.874 Å, b = 14.300 Å, c = 8.260 Å, α = 90.00°, β = 90.00° and γ = 90.00°. The asymmetric unit holds K at (0.000, 0.166, 0.000), Nd at (0.500, 0.000, 0.132), Y at (0.500, 0.190, 0.687), Mg at (0.000, 0.000, 0.720), Mg at (0.000, 0.108, 0.398) and Cd at (0.500, 0.000, 0.512).

***

Record 6
DFT (GGA-PBE) results for a geometry-optimized Al2ZnGe2 structure.

For the volume, the calculation gives 20.0 Å³/atom. Its total energy is -3.42 eV/atom.

It has space group I4/mmm (No. 139), with a = 4.449 Å, b = 4.449 Å, c = 10.082 Å, α = 90.00°, β = 90.00° and γ = 90.00°. The asymmetric unit holds Al at (0.000, 0.500, 0.250), Zn at (0.000, 0.000, 0.000) and Ge at (0.000, 0.000, 0.380).

***

- Number 3 is which compound?
  CuAgHgGeS4

***

- What is the formula in the fourth record?
  LuMgBe2